No. 1
# SmDyIn5

Crystalline SmDyIn5 at its relaxed geometry (PBE-GGA, the Open Quantum Materials Database).

Values from the calculation:
spin magnetization = 0.007 μB per formula unit
electronic total energy = -3.616 eV/atom
crystal system = tetragonal

Cell: 4.702 4.702 8.593 Å, 90.00 90.00 90.00°
Space group P4/mmm (No. 123)
Unique sites:
Sm 0.000 0.000 0.000 x1
Dy 0.000 0.000 0.500 x1
In 0.000 0.500 0.266 x4
In 0.500 0.500 0.000 x1

***

No. 2
# SmDy2In

Crystalline SmDy2In at its relaxed geometry (PBE-GGA, the Open Quantum Materials Database).

Values from the calculation:
spin magnetization = 0.108 μB per formula unit
electronic total energy = -4.435 eV/atom
crystal system = tetragonal

Cell: 4.874 4.874 4.843 Å, 90.00 90.00 90.00°
Space group P4/mmm (No. 123)
Unique sites:
Sm 0.000 0.000 0.000 x1
Dy 0.000 0.500 0.500 x2
In 0.500 0.500 0.000 x1

***

No. 3
# Sm2DyIn

Crystalline Sm2DyIn at its relaxed geometry (PBE-GGA, the Open Quantum Materials Database).

Values from the calculation:
spin magnetization = 0.063 μB per formula unit
electronic total energy = -4.466 eV/atom
crystal system = tetragonal

Cell: 4.882 4.882 4.919 Å, 90.00 90.00 90.00°
Space group P4/mmm (No. 123)
Unique sites:
Sm 0.000 0.500 0.000 x2
Dy 0.000 0.000 0.500 x1
In 0.500 0.500 0.500 x1

***

No. 4
# Sm5DyIn2

Crystalline Sm5DyIn2 at its relaxed geometry (PBE-GGA, the Open Quantum Materials Database).

Values from the calculation:
spin magnetization = 0.090 μB per formula unit
electronic total energy = -4.483 eV/atom
crystal system = orthorhombic

Cell: 6.952 13.905 4.903 Å, 90.00 90.00 90.00°
Space group Pbam (No. 55)
Unique sites:
Sm 0.000 0.000 0.000 x2
Sm 0.001 0.251 0.000 x4
Sm 0.249 0.876 0.500 x4
Dy 0.000 0.500 0.000 x2
In 0.247 0.624 0.500 x4

***

No. 5
# SmDyIn

Crystalline SmDyIn at its relaxed geometry (PBE-GGA, the Open Quantum Materials Database).

Values from the calculation:
energy relative to the lowest polymorph listed for this composition = 0.00 eV/f.u.
spin magnetization = 0.485 μB per formula unit
crystal system = hexagonal

Cell: 5.4490 5.4490 6.7909 Å, 90.00 90.00 120.00°
Space group P6_3/mmc (No. 194)
Unique sites:
Sm 0.0000 0.0000 0.0000 x2
Dy 0.3333 0.6667 0.2500 x2
In 0.3333 0.6667 0.7500 x2

***

No. 6
# SmDyIn

Crystalline SmDyIn at its relaxed geometry (PBE-GGA, the Open Quantum Materials Database).

Values from the calculation:
energy relative to the lowest polymorph listed for this composition = 0.77 eV/f.u.
spin magnetization = 0.129 μB per formula unit
crystal system = cubic

Cell: 7.388 7.388 7.388 Å, 90.00 90.00 90.00°
Space group F-43m (No. 216)
Unique sites:
Sm 0.000 0.000 0.000 x4
Dy 0.000 0.000 0.500 x4
In 0.250 0.250 0.750 x4

***

No. 7
# Sm2DyTmIn2

Crystalline Sm2DyTmIn2 at its relaxed geometry (PBE-GGA, the Open Quantum Materials Database).

Values from the calculation:
spin magnetization = 0.436 μB per formula unit
electronic total energy = -4.345 eV/atom
crystal system = trigonal

Cell: 5.4176 5.4176 6.7694 Å, 90.00 90.00 120.00°
Space group P-3m1 (No. 164)
Unique sites:
Sm 0.3333 0.6667 0.2516 x2
Dy 0.0000 0.0000 0.0000 x1
Tm 0.0000 0.0000 0.5000 x1
In 0.3333 0.6667 0.7493 x2

***

No. 8
# DyInSn

Crystalline DyInSn at its relaxed geometry (PBE-GGA, the Open Quantum Materials Database).

Values from the calculation:
energy relative to the lowest polymorph listed for this composition = 0.00 eV/f.u.
spin magnetization = 0.001 μB per formula unit
crystal system = cubic

Cell: 7.205 7.205 7.205 Å, 90.00 90.00 90.00°
Space group F-43m (No. 216)
Unique sites:
Dy 0.000 0.000 0.000 x4
In 0.250 0.250 0.750 x4
Sn 0.250 0.250 0.250 x4

***

No. 9
# DyInSn

Crystalline DyInSn at its relaxed geometry (PBE-GGA, the Open Quantum Materials Database).

Values from the calculation:
energy relative to the lowest polymorph listed for this composition = 0.22 eV/f.u.
spin magnetization = 0.006 μB per formula unit
crystal system = cubic

Cell: 7.153 7.153 7.153 Å, 90.00 90.00 90.00°
Space group F-43m (No. 216)
Unique sites:
Dy 0.000 0.000 0.000 x4
In 0.000 0.000 0.500 x4
Sn 0.250 0.250 0.750 x4

***

No. 10
# SrDyIn2

Crystalline SrDyIn2 at its relaxed geometry (PBE-GGA, the Open Quantum Materials Database).

Values from the calculation:
spin magnetization = 0.009 μB per formula unit
electronic total energy = -3.287 eV/atom
crystal system = orthorhombic

Cell: 5.002 13.323 7.475 Å, 90.00 90.00 90.00°
Space group Cmcm (No. 63)
Unique sites:
Sr 0.000 0.066 0.250 x4
Dy 0.000 0.220 0.750 x4
In 0.000 0.387 0.057 x8

***

No. 11
# TbDyIn5

Crystalline TbDyIn5 at its relaxed geometry (PBE-GGA, the Open Quantum Materials Database).

Values from the calculation:
spin magnetization = 0.019 μB per formula unit
electronic total energy = -3.590 eV/atom
crystal system = tetragonal

Cell: 4.679 4.679 8.564 Å, 90.00 90.00 90.00°
Space group P4/mmm (No. 123)
Unique sites:
Tb 0.000 0.000 0.000 x1
Dy 0.000 0.000 0.500 x1
In 0.000 0.500 0.264 x4
In 0.500 0.500 0.000 x1

***

No. 12
# TbDyIn6

Crystalline TbDyIn6 at its relaxed geometry (PBE-GGA, the Open Quantum Materials Database).

Values from the calculation:
spin magnetization = 0.002 μB per formula unit
electronic total energy = -3.562 eV/atom
crystal system = hexagonal

Cell: 6.6378 6.6378 5.2001 Å, 90.00 90.00 120.00°
Space group P-6m2 (No. 187)
Unique sites:
Tb 0.0000 0.0000 0.0000 x1
Dy 0.6667 0.3333 0.5000 x1
In 0.0098 0.5049 0.0000 x3
In 0.1721 0.3442 0.5000 x3

***

Please write out number 1 again, unchanged.
# SmDyIn5

Crystalline SmDyIn5 at its relaxed geometry (PBE-GGA, the Open Quantum Materials Database).

Values from the calculation:
spin magnetization = 0.007 μB per formula unit
electronic total energy = -3.616 eV/atom
crystal system = tetragonal

Cell: 4.702 4.702 8.593 Å, 90.00 90.00 90.00°
Space group P4/mmm (No. 123)
Unique sites:
Sm 0.000 0.000 0.000 x1
Dy 0.000 0.000 0.500 x1
In 0.000 0.500 0.266 x4
In 0.500 0.500 0.000 x1

***

- Number 7 is which compound?
  Sm2DyTmIn2